Entry one
Compound: Tl2ZnAg
Source: Alexandria
Functional: GGA-PBEsol
Structure: optimized geometry

a b c (Å): 5.6502 5.6502 5.6502
angles (deg): 135.88 135.88 64.16
Fractional positions:
Tl1 0.0000 0.0000 0.0000
Tl2 0.7500 0.2500 0.5000
Zn1 0.5000 0.5000 0.0000
Ag1 0.2500 0.7500 0.5000

magnetic moment: 0.00 μB/f.u.
Fermi-level density of states: 1.14 states/eV per cell

Entry two
Compound: Tl2ZnAg
Source: Alexandria
Functional: GGA-PBEsol
Structure: optimized geometry

a b c (Å): 8.9673 8.9673 8.9673
angles (deg): 21.67 21.67 21.67
Fractional positions:
Tl1 0.2489 0.2489 0.2489
Tl2 0.7511 0.7511 0.7511
Zn1 0.5000 0.5000 0.5000
Ag1 0.0000 0.0000 0.0000

magnetic moment: 0.00 μB/f.u.
Fermi-level density of states: 1.44 states/eV per cell

Relative energies, in eV/atom, with the most stable structure set to zero: entry one 0.014; entry two 0.000.

Entry one
Compound: AgW3
Source: Alexandria
Functional: GGA-PBEsol
Structure: optimized geometry

a b c (Å): 5.0924 5.0924 2.6617
angles (deg): 90.00 90.00 113.58
Fractional positions:
Ag1 0.0000 0.0000 0.0000
W1 0.0000 0.5000 0.5000
W2 0.5000 0.0000 0.5000
W3 0.5000 0.5000 0.0000

magnetic moment: 0.00 μB/f.u.
Fermi-level density of states: 2.58 states/eV per cell

Entry two
Compound: AgW3
Source: Alexandria
Functional: GGA-PBEsol
Structure: optimized geometry

a b c (Å): 2.7542 2.7542 9.7601
angles (deg): 90.00 90.00 120.00
Fractional positions:
Ag1 0.0000 0.0000 0.0000
W1 0.0000 0.0000 0.5000
W2 0.6667 0.3333 0.2512
W3 0.6667 0.3333 0.7488

magnetic moment: 0.00 μB/f.u.
Fermi-level density of states: 3.02 states/eV per cell

Relative energies, in eV/atom, with the most stable structure set to zero: entry one 0.000; entry two 0.011.

Entry one
Compound: Ag2W
Source: Alexandria
Functional: GGA-PBEsol
Structure: optimized geometry

a b c (Å): 5.2723 5.2723 5.2723
angles (deg): 102.05 102.05 125.62
Fractional positions:
Ag1 0.1484 0.6484 0.7967
Ag2 0.3516 0.1484 0.5000
Ag3 0.6484 0.8516 0.5000
Ag4 0.8516 0.3516 0.2033
W1 0.2500 0.2500 0.0000
W2 0.7500 0.7500 0.0000

magnetic moment: 0.00 μB/f.u.
Fermi-level density of states: 3.10 states/eV per cell

Entry two
Compound: Ag2W
Source: Alexandria
Functional: GGA-PBEsol
Structure: optimized geometry

a b c (Å): 4.5776 4.5776 2.6464
angles (deg): 90.00 90.00 120.00
Fractional positions:
Ag1 0.3333 0.6667 0.0000
Ag2 0.6667 0.3333 0.0000
W1 0.0000 0.0000 0.5000

magnetic moment: 0.01 μB/f.u.
Fermi-level density of states: 3.66 states/eV per cell

Relative energies, in eV/atom, with the most stable structure set to zero: entry one 0.124; entry two 0.000.

Entry one
Compound: Zn2AgW
Source: Alexandria
Functional: GGA-PBEsol
Structure: optimized geometry

a b c (Å): 2.7365 3.4990 6.1388
angles (deg): 90.00 90.00 90.00
Fractional positions:
Zn1 0.0000 0.0000 0.2497
Zn2 0.0000 0.0000 0.7503
Ag1 0.5000 0.5000 0.0000
W1 0.5000 0.5000 0.5000

magnetic moment: 0.00 μB/f.u.
Fermi-level density of states: 2.11 states/eV per cell

Entry two
Compound: Zn2AgW
Source: Alexandria
Functional: GGA-PBEsol
Structure: optimized geometry

a b c (Å): 4.4026 4.4026 4.4026
angles (deg): 60.00 60.00 60.00
Fractional positions:
Zn1 0.0000 0.0000 0.0000
Zn2 0.2500 0.2500 0.2500
Ag1 0.5000 0.5000 0.5000
W1 0.7500 0.7500 0.7500

magnetic moment: 1.50 μB/f.u.
Fermi-level density of states: 4.44 states/eV per cell

Relative energies, in eV/atom, with the most stable structure set to zero: entry one 0.000; entry two 0.376.

Entry one
Compound: Zn2AgW
Source: Alexandria
Functional: GGA-PBEsol
Structure: optimized geometry

a b c (Å): 5.2740 5.2740 4.8778
angles (deg): 113.16 113.16 28.71
Fractional positions:
Zn1 0.0000 0.0000 0.0000
Zn2 0.7468 0.7468 0.4296
Ag1 0.2485 0.2485 0.9262
W1 0.4927 0.4927 0.4913

magnetic moment: 0.00 μB/f.u.
Fermi-level density of states: 1.46 states/eV per cell

Entry two
Compound: Zn2AgW
Source: Alexandria
Functional: GGA-PBEsol
Structure: optimized geometry

a b c (Å): 4.3681 4.3681 4.3681
angles (deg): 60.00 60.00 60.00
Fractional positions:
Zn1 0.2500 0.2500 0.2500
Zn2 0.7500 0.7500 0.7500
Ag1 0.0000 0.0000 0.0000
W1 0.5000 0.5000 0.5000

magnetic moment: 0.92 μB/f.u.
Fermi-level density of states: 3.33 states/eV per cell

Relative energies, in eV/atom, with the most stable structure set to zero: entry one 0.000; entry two 0.275.

Entry one
Compound: ZrAgW2
Source: Alexandria
Functional: GGA-PBEsol
Structure: optimized geometry

a b c (Å): 5.5533 5.5533 2.7114
angles (deg): 100.32 100.32 119.82
Fractional positions:
Zr1 0.0000 0.0000 0.0000
Ag1 0.5000 0.5000 0.0000
W1 0.0000 0.5000 0.5000
W2 0.5000 0.0000 0.5000

magnetic moment: 0.00 μB/f.u.
Fermi-level density of states: 3.01 states/eV per cell

Entry two
Compound: ZrAgW2
Source: Alexandria
Functional: GGA-PBEsol
Structure: optimized geometry

a b c (Å): 5.1710 5.1710 5.1710
angles (deg): 140.06 127.60 67.86
Fractional positions:
Zr1 0.0000 0.0000 0.0000
Ag1 0.7350 0.2350 0.5000
W1 0.2551 0.7551 0.5000
W2 0.4734 0.4734 0.0000

magnetic moment: 0.00 μB/f.u.
Fermi-level density of states: 3.80 states/eV per cell

Relative energies, in eV/atom, with the most stable structure set to zero: entry one 0.000; entry two 0.033.

Entry one
Compound: Y4Ag
Source: Alexandria
Functional: GGA-PBEsol
Structure: optimized geometry

a b c (Å): 6.4298 6.4298 8.7125
angles (deg): 132.45 132.45 32.75
Fractional positions:
Y1 0.0789 0.0789 0.3519
Y2 0.2709 0.2709 0.1914
Y3 0.7291 0.7291 0.8086
Y4 0.9211 0.9211 0.6481
Ag1 0.5000 0.5000 0.0000

magnetic moment: 0.00 μB/f.u.
Fermi-level density of states: 5.00 states/eV per cell

Entry two
Compound: Y4Ag
Source: Alexandria
Functional: GGA-PBEsol
Structure: optimized geometry

a b c (Å): 13.3153 13.3153 13.3153
angles (deg): 15.13 15.13 15.13
Fractional positions:
Y1 0.1089 0.1089 0.1089
Y2 0.2969 0.2969 0.2969
Y3 0.7031 0.7031 0.7031
Y4 0.8911 0.8911 0.8911
Ag1 0.5000 0.5000 0.5000

magnetic moment: 0.00 μB/f.u.
Fermi-level density of states: 5.79 states/eV per cell

Relative energies, in eV/atom, with the most stable structure set to zero: entry one 0.000; entry two 0.116.

Entry one
Compound: YZr2Ag
Source: Alexandria
Functional: GGA-PBEsol
Structure: optimized geometry

a b c (Å): 10.1148 10.1148 10.1148
angles (deg): 18.42 18.42 18.42
Fractional positions:
Y1 0.0000 0.0000 0.0000
Zr1 0.5059 0.5059 0.5059
Zr2 0.7572 0.7572 0.7572
Ag1 0.2501 0.2501 0.2501

magnetic moment: 0.00 μB/f.u.
Fermi-level density of states: 4.82 states/eV per cell

Entry two
Compound: YZr2Ag
Source: Alexandria
Functional: GGA-PBEsol
Structure: optimized geometry

a b c (Å): 3.2742 3.2742 8.3536
angles (deg): 90.00 90.00 90.00
Fractional positions:
Y1 0.0000 0.0000 0.0000
Zr1 0.0000 0.0000 0.5316
Zr2 0.5000 0.5000 0.2853
Ag1 0.5000 0.5000 0.7504

magnetic moment: 0.00 μB/f.u.
Fermi-level density of states: 4.42 states/eV per cell

Relative energies, in eV/atom, with the most stable structure set to zero: entry one 0.154; entry two 0.000.